[1]
# HoErFe6Ni2B2 PBE optimized geometry
data_HoErFe6Ni2B2
_chemical_formula_sum 'Ho1 Er1 Fe6 Ni2 B2'
_space_group_name_H-M_alt 'P 6/m m m'
_space_group_IT_number 191
_space_group_name_Hall '-P 6 2'
_cell_length_a 4.9902
_cell_length_b 4.9902
_cell_length_c 7.0633
_cell_angle_alpha 90.00
_cell_angle_beta 90.00
_cell_angle_gamma 120.00
loop_
_atom_site_label
_atom_site_type_symbol
_atom_site_fract_x
_atom_site_fract_y
_atom_site_fract_z
_atom_site_occupancy
Ho1 Ho 0.0000 0.0000 0.0000 1
Er1 Er 0.0000 0.0000 0.5000 1
Fe1 Fe 0.0000 0.5000 0.2865 1
Ni1 Ni 0.3333 0.6667 0.0000 1
B1 B 0.3333 0.6667 0.5000 1
# - excess energy over the best structure of this formula in the dataset (kJ/mol of formula units) = 0
# - crystal system = hexagonal
# - total magnetic moment (μB/atom) = 0.954

=====

[2]
# Mg3Pa PBE optimized geometry
data_Mg3Pa
_chemical_formula_sum 'Mg12 Pa4'
_space_group_name_H-M_alt 'C m c m'
_space_group_IT_number 63
_space_group_name_Hall '-C 2c 2'
_cell_length_a 6.717
_cell_length_b 11.630
_cell_length_c 4.945
_cell_angle_alpha 90.00
_cell_angle_beta 90.00
_cell_angle_gamma 90.00
loop_
_atom_site_label
_atom_site_type_symbol
_atom_site_fract_x
_atom_site_fract_y
_atom_site_fract_z
_atom_site_occupancy
Mg1 Mg 0.000 0.081 0.250 1
Mg2 Mg 0.245 0.177 0.750 1
Pa1 Pa 0.000 0.443 0.750 1
# - excess energy over the best structure of this formula in the dataset (kJ/mol of formula units) = 0
# - crystal system = orthorhombic
# - total magnetic moment (μB/atom) = 0.193

=====

[3]
# BPt PBE optimized geometry
data_BPt
_chemical_formula_sum 'B2 Pt2'
_space_group_name_H-M_alt 'P 63/m m c'
_space_group_IT_number 194
_space_group_name_Hall '-P 6c 2c'
_cell_length_a 3.2272
_cell_length_b 3.2272
_cell_length_c 5.2542
_cell_angle_alpha 90.00
_cell_angle_beta 90.00
_cell_angle_gamma 120.00
loop_
_atom_site_label
_atom_site_type_symbol
_atom_site_fract_x
_atom_site_fract_y
_atom_site_fract_z
_atom_site_occupancy
B1 B 0.3333 0.6667 0.2500 1
Pt1 Pt 0.0000 0.0000 0.0000 1
# - crystal system = hexagonal
# - total magnetic moment (μB/atom) = 0.001

=====

[4]
# TmSnAuSe3 PBE optimized geometry
data_TmSnAuSe3
_chemical_formula_sum 'Tm4 Sn4 Au4 Se12'
_space_group_name_H-M_alt 'P n m a'
_space_group_IT_number 62
_space_group_name_Hall '-P 2ac 2n'
_cell_length_a 12.220
_cell_length_b 4.123
_cell_length_c 12.757
_cell_angle_alpha 90.00
_cell_angle_beta 90.00
_cell_angle_gamma 90.00
loop_
_atom_site_label
_atom_site_type_symbol
_atom_site_fract_x
_atom_site_fract_y
_atom_site_fract_z
_atom_site_occupancy
Tm1 Tm 0.020 0.250 0.160 1
Sn1 Sn 0.177 0.250 0.565 1
Au1 Au 0.202 0.750 0.395 1
Se1 Se 0.017 0.750 0.315 1
Se2 Se 0.100 0.250 0.946 1
Se3 Se 0.248 0.250 0.199 1
# - excess energy over the best structure of this formula in the dataset (kJ/mol of formula units) = 27
# - crystal system = orthorhombic
# - total magnetic moment (μB/atom) = 0.000

=====

[5]
# PrNbN2O PBE optimized geometry
data_PrNbN2O
_chemical_formula_sum 'Pr8 Nb8 N16 O8'
_space_group_name_H-M_alt 'P 1'
_space_group_IT_number 1
_space_group_name_Hall 'P 1'
_cell_length_a 5.719
_cell_length_b 9.931
_cell_length_c 9.936
_cell_angle_alpha 108.60
_cell_angle_beta 90.07
_cell_angle_gamma 90.01
loop_
_atom_site_label
_atom_site_type_symbol
_atom_site_fract_x
_atom_site_fract_y
_atom_site_fract_z
_atom_site_occupancy
Pr1 Pr 0.000 0.000 0.000 1
Pr2 Pr 0.004 0.494 0.493 1
Pr3 Pr 0.476 0.255 0.254 1
Pr4 Pr 0.482 0.755 0.757 1
Pr5 Pr 0.497 0.547 0.048 1
Pr6 Pr 0.506 0.048 0.546 1
Pr7 Pr 0.975 0.792 0.291 1
Pr8 Pr 0.983 0.285 0.788 1
Nb1 Nb 0.001 0.634 0.885 1
Nb2 Nb 0.012 0.147 0.405 1
Nb3 Nb 0.015 0.896 0.642 1
Nb4 Nb 0.471 0.902 0.139 1
Nb5 Nb 0.505 0.657 0.410 1
Nb6 Nb 0.510 0.141 0.896 1
Nb7 Nb 0.516 0.405 0.647 1
Nb8 Nb 0.971 0.405 0.139 1
N1 N 0.067 0.012 0.516 1
N2 N 0.067 0.510 0.014 1
N3 N 0.188 0.526 0.731 1
N4 N 0.190 0.726 0.527 1
N5 N 0.197 0.023 0.233 1
N6 N 0.260 0.982 0.783 1
N7 N 0.266 0.273 0.484 1
N8 N 0.266 0.776 0.985 1
N9 N 0.567 0.029 0.035 1
N10 N 0.567 0.530 0.533 1
N11 N 0.688 0.521 0.821 1
N12 N 0.691 0.812 0.520 1
N13 N 0.695 0.313 0.020 1
N14 N 0.762 0.061 0.771 1
N15 N 0.765 0.265 0.565 1
N16 N 0.769 0.559 0.270 1
O1 O 0.189 0.226 0.036 1
O2 O 0.264 0.466 0.277 1
O3 O 0.382 0.749 0.260 1
O4 O 0.387 0.257 0.763 1
O5 O 0.690 0.006 0.318 1
O6 O 0.760 0.765 0.077 1
O7 O 0.885 0.277 0.286 1
O8 O 0.885 0.789 0.796 1
# - crystal system = triclinic
# - total magnetic moment (μB/atom) = 0.000

=====

[6]
# DyTm2Sn3PdPt2 PBE optimized geometry
data_DyTm2Sn3PdPt2
_chemical_formula_sum 'Dy2 Tm4 Sn6 Pd2 Pt4'
_space_group_name_H-M_alt 'A m m 2'
_space_group_IT_number 38
_space_group_name_Hall 'A 2 -2'
_cell_length_a 3.983
_cell_length_b 13.029
_cell_length_c 7.488
_cell_angle_alpha 90.00
_cell_angle_beta 90.00
_cell_angle_gamma 90.00
loop_
_atom_site_label
_atom_site_type_symbol
_atom_site_fract_x
_atom_site_fract_y
_atom_site_fract_z
_atom_site_occupancy
Dy1 Dy 0.000 0.000 0.000 1
Tm1 Tm 0.000 0.204 0.388 1
Sn1 Sn 0.500 0.000 0.334 1
Sn2 Sn 0.500 0.130 0.720 1
Pd1 Pd 0.000 0.000 0.590 1
Pt1 Pt 0.500 0.168 0.092 1
# - crystal system = orthorhombic
# - total magnetic moment (μB/atom) = 0.000

=====

[7]
# PmNiHg PBE optimized geometry
data_PmNiHg
_chemical_formula_sum 'Pm4 Ni4 Hg4'
_space_group_name_H-M_alt 'F -4 3 m'
_space_group_IT_number 216
_space_group_name_Hall 'F -4 2 3'
_cell_length_a 6.753
_cell_length_b 6.753
_cell_length_c 6.753
_cell_angle_alpha 90.00
_cell_angle_beta 90.00
_cell_angle_gamma 90.00
loop_
_atom_site_label
_atom_site_type_symbol
_atom_site_fract_x
_atom_site_fract_y
_atom_site_fract_z
_atom_site_occupancy
Pm1 Pm 0.000 0.000 0.000 1
Ni1 Ni 0.000 0.000 0.500 1
Hg1 Hg 0.250 0.250 0.750 1
# - crystal system = cubic
# - formation enthalpy at 0 K (eV per atom) = 0.10
# - total magnetic moment (μB/atom) = 0.002

=====

[8]
# PuScCd PBE optimized geometry
data_PuScCd
_chemical_formula_sum 'Pu4 Sc4 Cd4'
_space_group_name_H-M_alt 'F -4 3 m'
_space_group_IT_number 216
_space_group_name_Hall 'F -4 2 3'
_cell_length_a 6.860
_cell_length_b 6.860
_cell_length_c 6.860
_cell_angle_alpha 90.00
_cell_angle_beta 90.00
_cell_angle_gamma 90.00
loop_
_atom_site_label
_atom_site_type_symbol
_atom_site_fract_x
_atom_site_fract_y
_atom_site_fract_z
_atom_site_occupancy
Pu1 Pu 0.000 0.000 0.000 1
Sc1 Sc 0.250 0.250 0.750 1
Cd1 Cd 0.000 0.000 0.500 1
# - crystal system = cubic
# - formation enthalpy at 0 K (eV per atom) = 0.44
# - total magnetic moment (μB/atom) = 2.129

=====

| no. | calculated total energy (eV/f.u.) |
| --- | --- |
| 1 | -86.8 |
| 2 | -13.3 |
| 3 | -12.6 |
| 4 | -27.5 |
| 5 | -45.2 |
| 6 | -52.2 |
| 7 | -10.3 |
| 8 | -20.0 |